This record from the Alexandria database describes a relaxed Ni2RuAuN crystal. The functional is PBE.

a = 3.9305 Å, b = 3.9305 Å, c = 3.9312 Å
α = 90.00°, β = 90.00°, γ = 90.00°
Atoms (fractional coordinates):
Ni: 0.0000 0.5000 0.0000
Ni: 0.5000 0.0000 0.0000
Ru: 0.0000 0.0000 0.5000
Au: 0.5000 0.5000 0.5000
N: 0.0000 0.0000 0.0000

The formation energy from raw total energies is 0.136 eV/atom.

=====

This record from the Alexandria database describes a relaxed La4CoAuCl2 crystal. The functional is PBE.

a = 7.3263 Å, b = 4.2438 Å, c = 7.8251 Å
α = 90.00°, β = 106.82°, γ = 90.00°
Atoms (fractional coordinates):
La: 0.2236 0.0000 0.2912
La: 0.2295 0.5000 0.7124
La: 0.7705 0.5000 0.2876
La: 0.7764 0.0000 0.7088
Co: 0.0000 0.0000 0.5000
Au: 0.5000 0.5000 0.5000
Cl: 0.0000 0.5000 0.0000
Cl: 0.5000 0.0000 0.0000

The formation energy from raw total energies is -1.031 eV/atom.

=====

This record from the Alexandria database describes a relaxed In2HgHAu crystal. The functional is PBE.

a = 5.6101 Å, b = 5.6101 Å, c = 3.5242 Å
α = 90.00°, β = 90.00°, γ = 90.00°
Atoms (fractional coordinates):
In: 0.0000 0.5000 0.0000
In: 0.5000 0.0000 0.0000
Hg: 0.0000 0.0000 0.5000
H: 0.5000 0.5000 0.5000
Au: 0.5000 0.5000 0.0000

=====

This record from the Alexandria database describes a relaxed Li3B4C4 crystal. The functional is PBE.

a = 7.7178 Å, b = 7.7178 Å, c = 9.4056 Å
α = 106.77°, β = 106.77°, γ = 20.34°
Atoms (fractional coordinates):
Li: 0.0000 0.0000 0.0000
Li: 0.0075 0.0075 0.4579
Li: 0.2556 0.2556 0.6067
Li: 0.5022 0.5022 0.7298
Li: 0.7490 0.7490 0.8733
Li: 0.7520 0.7520 0.3324
B: 0.1251 0.1251 0.2098
B: 0.1268 0.1268 0.7097
B: 0.3732 0.3732 0.0021
B: 0.3810 0.3810 0.5009
B: 0.6217 0.6217 0.9603
B: 0.6372 0.6372 0.4623
B: 0.8769 0.8769 0.7519
B: 0.8794 0.8794 0.2484
C: 0.1206 0.1206 0.8740
C: 0.1391 0.1391 0.3819
C: 0.3745 0.3745 0.8341
C: 0.3813 0.3813 0.3344
C: 0.6207 0.6207 0.1253
C: 0.6309 0.6309 0.6276
C: 0.8738 0.8738 0.0817
C: 0.8805 0.8805 0.5858

The energy of formation comes out at -0.2336 eV/atom.

=====

This record from the Alexandria database describes a relaxed HfPaAs crystal. The functional is PBE.

a = 4.6806 Å, b = 4.6806 Å, c = 3.5426 Å
α = 90.00°, β = 90.00°, γ = 120.00°
Atoms (fractional coordinates):
Hf: 0.0000 0.0000 0.0000
Pa: 0.3333 0.6667 0.5000
As: 0.6667 0.3333 0.0000

The energy of formation comes out at -0.2711 eV/atom.

=====

This record from the Alexandria database describes a relaxed NdYGaCo crystal. The functional is PBE.

a = 5.0252 Å, b = 5.0252 Å, c = 5.0252 Å
α = 60.00°, β = 60.00°, γ = 60.00°
Atoms (fractional coordinates):
Nd: 0.0000 0.0000 0.0000
Y: 0.5000 0.5000 0.5000
Ga: 0.7500 0.7500 0.7500
Co: 0.2500 0.2500 0.2500

The energy of formation comes out at -0.2567 eV/atom.

=====

This record from the Alexandria database describes a relaxed FeCo6Ge crystal. The functional is PBE.

a = 5.0350 Å, b = 5.0350 Å, c = 4.0757 Å
α = 90.00°, β = 90.00°, γ = 120.00°
Atoms (fractional coordinates):
Fe: 0.0000 0.0000 0.0000
Co: 0.3331 0.1666 0.5000
Co: 0.5008 0.0016 0.0000
Co: 0.5008 0.4992 0.0000
Co: 0.8334 0.1666 0.5000
Co: 0.8334 0.6669 0.5000
Co: 0.9984 0.4992 0.0000
Ge: 0.3333 0.6667 0.5000

The energy of formation comes out at -0.0177 eV/atom.

=====

For the records above, the corresponding electronic total energy values read -31.76 -42.03 -12.16 -143.83 -24.91 -22.39 -55.86 eV/cell.
For the records above, the corresponding DOS at the Fermi energy values read 7.5 7.3 2.5 1.2 5.4 2.7 8.1 states/eV/f.u..